Entry 1:
# CrFeSe2

A geometry-optimized CrFeSe2 structure (PBE, the Alexandria database).

```
CrFeSe2
1.0
4.457 0.000 0.000
0.000 4.457 0.000
0.000 0.000 3.148
Cr Fe Se
1 1 2
direct
0.000 0.000 0.000
0.500 0.500 0.000
0.000 0.500 0.500
0.500 0.000 0.500
```

Magnetization, μB per cell: 5.598
Density, g/cm3: 7.06
Space-group type: P4/mmm (123)
Relative energy among the computed polymorphs, meV/atom: 346
Total energy, eV per atom: -6.11
Uncorrected formation energy, eV/atom: 0.152

---

Entry 2:
# CaTl3Bi

A geometry-optimized CaTl3Bi structure (PBE, the Alexandria database).

```
CaTl3Bi
1.0
5.999 0.000 0.000
0.000 5.999 0.000
0.000 0.000 5.999
Ca Tl Bi
1 3 1
direct
0.000 0.000 0.000
0.000 0.500 0.500
0.500 0.000 0.500
0.500 0.500 0.000
0.500 0.500 0.500
```

Magnetization, μB per cell: 0.000
Density, g/cm3: 6.63
Space-group type: Pm-3m (221)
Relative energy among the computed polymorphs, meV/atom: 0
Formation energy from the elements, eV per atom: 0.3089
Total energy, eV per atom: -2.29

---

Entry 3:
# CaBeGe2B

A geometry-optimized CaBeGe2B structure (PBE, the Alexandria database).

```
CaBeGe2B
1.0
4.287 0.000 0.000
0.000 4.287 0.000
0.000 0.000 5.229
Ca Be Ge B
1 1 2 1
direct
0.000 0.000 0.000
0.000 0.000 0.500
0.000 0.500 0.500
0.500 0.000 0.500
0.500 0.500 0.000
```

Magnetization, μB per cell: 0.001
Density, g/cm3: 3.55
Space-group type: P4/mmm (123)
Relative energy among the computed polymorphs, meV/atom: 0
Formation energy from the elements, eV per atom: 0.8405
Total energy, eV per atom: -3.49

---

Entry 4:
# Li2CeTlCl8

A geometry-optimized Li2CeTlCl8 structure (PBE, the Alexandria database).

```
Li2CeTlCl8
1.0
6.202 0.000 0.000
0.000 8.441 0.000
-0.405 0.000 6.221
Li Ce Tl Cl
2 1 1 8
direct
0.000 0.242 0.000
0.000 0.758 0.000
0.500 0.500 0.500
0.500 0.000 0.500
0.182 0.000 0.178
0.197 0.500 0.187
0.292 0.272 0.699
0.292 0.728 0.699
0.708 0.272 0.301
0.708 0.728 0.301
0.803 0.500 0.813
0.818 0.000 0.822
```

Magnetization, μB per cell: 0.154
Density, g/cm3: 3.27
Space-group type: P2/m (10)
Total energy, eV per atom: -3.79
Uncorrected formation energy, eV/atom: -1.552

---

Entry 5:
# Y2PaMnFe2

A geometry-optimized Y2PaMnFe2 structure (PBE, the Alexandria database).

```
Y2PaMnFe2
1.0
-3.158 6.107 3.192
3.158 -6.107 3.192
3.158 6.107 -3.192
Y Pa Mn Fe
4 2 2 4
direct
0.185 0.166 0.352
0.315 0.666 0.981
0.685 0.334 0.019
0.815 0.834 0.648
0.250 0.750 0.500
0.750 0.250 0.500
0.250 0.250 0.000
0.750 0.750 0.000
0.080 0.747 0.826
0.420 0.247 0.667
0.580 0.753 0.333
0.920 0.253 0.174
```

Magnetization, μB per cell: 5.812
Density, g/cm3: 7.76
Space-group type: Ibam (72)
Formation energy from the elements, eV per atom: -0.0485
Total energy, eV per atom: -8.13

---

Entry 6:
# V2ZnNiPt5

A geometry-optimized V2ZnNiPt5 structure (PBE, the Alexandria database).

```
V2ZnNiPt5
1.0
-3.331 3.331 6.224
3.331 -3.331 6.224
3.331 3.331 -6.224
V Zn Ni Pt
4 2 2 10
direct
0.112 0.612 0.723
0.388 0.112 0.500
0.612 0.888 0.500
0.888 0.388 0.277
0.250 0.250 0.000
0.750 0.750 0.000
0.250 0.750 0.500
0.750 0.250 0.500
0.000 0.000 0.000
0.071 0.155 0.500
0.155 0.655 0.084
0.345 0.429 0.500
0.429 0.929 0.084
0.500 0.500 0.000
0.571 0.071 0.916
0.655 0.571 0.500
0.845 0.345 0.916
0.929 0.845 0.500
```

Magnetization, μB per cell: 0.013
Density, g/cm3: 14.45
Space-group type: I4/mcm (140)
Formation energy from the elements, eV per atom: -0.0452
Total energy, eV per atom: -6.21

---

Entry 7:
# HfTl3P

A geometry-optimized HfTl3P structure (PBE, the Alexandria database).

```
HfTl3P
1.0
5.219 0.000 0.000
0.000 5.219 0.000
0.000 0.000 5.219
Hf Tl P
1 3 1
direct
0.000 0.000 0.000
0.000 0.500 0.500
0.500 0.000 0.500
0.500 0.500 0.000
0.500 0.500 0.500
```

Magnetization, μB per cell: 0.000
Density, g/cm3: 9.61
Space-group type: Pm-3m (221)
Relative energy among the computed polymorphs, meV/atom: 0
Formation energy from the elements, eV per atom: 0.9191
Total energy, eV per atom: -3.57

---

Entry 8:
# SmBi5Pb2

A geometry-optimized SmBi5Pb2 structure (PBE, the Alexandria database).

```
SmBi5Pb2
1.0
8.379 0.000 0.000
0.000 8.379 0.000
0.000 0.000 7.157
Sm Bi Pb
2 10 4
direct
0.000 0.000 0.000
0.500 0.500 0.500
0.000 0.000 0.500
0.250 0.250 0.250
0.250 0.250 0.750
0.250 0.750 0.250
0.250 0.750 0.750
0.500 0.500 0.000
0.750 0.250 0.250
0.750 0.250 0.750
0.750 0.750 0.250
0.750 0.750 0.750
0.000 0.500 0.000
0.000 0.500 0.500
0.500 0.000 0.000
0.500 0.000 0.500
```

Magnetization, μB per cell: 0.000
Density, g/cm3: 10.64
Space-group type: I4/mmm (139)
Formation energy from the elements, eV per atom: -0.1698
Total energy, eV per atom: -4.11

---

Entry 9:
# MnSnS

A geometry-optimized MnSnS structure (PBE, the Alexandria database).

```
MnSnS
1.0
4.269 0.000 0.000
0.000 3.585 0.000
0.000 0.000 7.832
Mn Sn S
2 2 2
direct
0.000 0.000 0.000
0.000 0.500 0.500
0.500 0.000 0.433
0.500 0.500 0.933
0.000 0.000 0.700
0.000 0.500 0.200
```

Magnetization, μB per cell: 6.236
Density, g/cm3: 5.70
Space-group type: Amm2 (38)
Total energy, eV per atom: -5.89
Uncorrected formation energy, eV/atom: -0.124

---

Entry 10:
# LiPrMgPb

A geometry-optimized LiPrMgPb structure (PBE, the Alexandria database).

```
LiPrMgPb
1.0
7.457 0.000 0.000
0.000 7.457 0.000
0.000 0.000 7.457
Li Pr Mg Pb
4 4 4 4
direct
0.000 0.000 0.000
0.000 0.500 0.500
0.500 0.000 0.500
0.500 0.500 0.000
0.250 0.250 0.250
0.250 0.750 0.750
0.750 0.250 0.750
0.750 0.750 0.250
0.250 0.250 0.750
0.250 0.750 0.250
0.750 0.250 0.250
0.750 0.750 0.750
0.000 0.000 0.500
0.000 0.500 0.000
0.500 0.000 0.000
0.500 0.500 0.500
```

Magnetization, μB per cell: 0.000
Density, g/cm3: 6.08
Space-group type: F-43m (216)
Formation energy from the elements, eV per atom: -0.2289
Total energy, eV per atom: -3.23

---

Entry 11:
# Ga3MoSe

A geometry-optimized Ga3MoSe structure (PBE, the Alexandria database).

```
Ga3MoSe
1.0
5.000 0.000 0.000
0.000 5.000 0.000
0.000 0.000 5.000
Ga Mo Se
3 1 1
direct
0.000 0.000 0.500
0.000 0.500 0.000
0.500 0.000 0.000
0.000 0.000 0.000
0.500 0.500 0.500
```

Magnetization, μB per cell: 2.593
Density, g/cm3: 5.10
Space-group type: Pm-3m (221)
Relative energy among the computed polymorphs, meV/atom: 0
Total energy, eV per atom: -4.10
Uncorrected formation energy, eV/atom: 0.577

---

Entry 12:
# ScCd4Br

A geometry-optimized ScCd4Br structure (PBE, the Alexandria database).

```
ScCd4Br
1.0
0.000 4.211 4.211
4.211 0.000 4.211
4.211 4.211 0.000
Sc Cd Br
1 4 1
direct
0.000 0.000 0.000
0.374 0.374 0.374
0.374 0.374 0.878
0.374 0.878 0.374
0.878 0.374 0.374
0.750 0.750 0.750
```

Magnetization, μB per cell: 0.708
Density, g/cm3: 6.39
Space-group type: F-43m (216)
Total energy, eV per atom: -1.92
Uncorrected formation energy, eV/atom: 0.021